DFT (PBE-GGA) results for a relaxed Li2YGe4 crystal.

Its energy of formation is -391 meV per atom. The density of states at the Fermi level is 3.61 states/eV per cell. For the uncorrected energy, the calculation gives -63.00 eV per cell.

It has space group I4/mmm (No. 139), with a = 6.770 Å, b = 6.770 Å, c = 5.675 Å, α = 90.00°, β = 90.00° and γ = 90.00°. The distinct sites, in fractional coordinates, are Li at (0.000, 0.500, 0.250), Y at (0.000, 0.000, 0.000) and Ge at (0.194, 0.194, 0.500).